# 1
Compound: LiCuBiPd
Source: Alexandria via LeMat-Bulk
Functional: PBE
Structure: relaxed

a = 4.618 Å, b = 4.618 Å, c = 4.618 Å
α = 60.00°, β = 60.00°, γ = 60.00°
Positions (direct):
Li 0.000 0.000 0.000
Cu 0.250 0.250 0.250
Bi 0.500 0.500 0.500
Pd 0.750 0.750 0.750

Summary:
- Total energy: -4.01 eV per atom
- Mass density: 9.2 g/cm³

=====

# 2
Compound: LiCuBi2Pd
Source: Alexandria via LeMat-Bulk
Functional: PBE
Structure: relaxed

a = 5.006 Å, b = 5.006 Å, c = 4.374 Å
α = 90.00°, β = 90.00°, γ = 90.00°
Positions (direct):
Li 0.000 0.000 0.000
Cu 0.500 0.500 0.500
Bi 0.000 0.500 0.000
Bi 0.500 0.000 0.000
Pd 0.000 0.000 0.500

Summary:
- Total energy: -3.41 eV per atom
- Mass density: 9.0 g/cm³

=====

# 3
Compound: LiCuBiRh
Source: Alexandria via LeMat-Bulk
Functional: PBE
Structure: relaxed

a = 4.530 Å, b = 4.530 Å, c = 4.530 Å
α = 60.00°, β = 60.00°, γ = 60.00°
Positions (direct):
Li 0.000 0.000 0.000
Cu 0.250 0.250 0.250
Bi 0.750 0.750 0.750
Rh 0.500 0.500 0.500

Summary:
- Total energy: -4.46 eV per atom
- Mass density: 9.7 g/cm³

=====

Among the records above, which one has the lowest mass density?
LiCuBi2Pd

=====

Please write out number 1 again, unchanged.
Compound: LiCuBiPd
Source: Alexandria via LeMat-Bulk
Functional: PBE
Structure: relaxed

a = 4.618 Å, b = 4.618 Å, c = 4.618 Å
α = 60.00°, β = 60.00°, γ = 60.00°
Positions (direct):
Li 0.000 0.000 0.000
Cu 0.250 0.250 0.250
Bi 0.500 0.500 0.500
Pd 0.750 0.750 0.750

Summary:
- Total energy: -4.01 eV per atom
- Mass density: 9.2 g/cm³

=====

Which of these has the lowest mass density?
LiCuBi2Pd